Entry 1:
VASP calculation (PBE-GGA) on a relaxed structure of Cr2RuN.

extended XYZ file:
```
8
Lattice="-2.518 2.518 4.286 2.518 -2.518 4.286 2.518 2.518 -4.286" Properties=species:S:1:pos:R:3 pbc="T T T"
Cr 3.777 0.834 -1.071
Cr 0.834 1.259 1.071
Cr -1.259 1.684 3.214
Cr 1.684 1.259 5.357
Ru 2.518 0.000 2.143
Ru 0.000 0.000 4.286
N 0.000 0.000 0.000
N 0.000 2.518 2.143
```

Results
V   108.7 Å³ per cell
Energy   -8.9795 eV per atom
Energy relative to the elements, uncorrected   90 kJ/mol of formula units


Entry 2:
VASP calculation (PBE-GGA) on a relaxed structure of CeDy2Co.

extended XYZ file:
```
4
Lattice="1.854 1.070 9.178 -1.854 1.070 9.178 0.000 -2.141 9.178" Properties=species:S:1:pos:R:3 pbc="T T T"
Ce 0.000 0.000 0.000
Dy 0.000 0.000 15.270
Dy 0.000 0.000 21.343
Co 0.000 0.000 4.535
```

Results
V   109.3 Å³ per cell
Energy   -5.4994 eV per atom
Energy relative to the lowest polymorph listed for this composition   239 meV/atom
Energy relative to the elements   0.06 eV/atom


Entry 3:
VASP calculation (PBE-GGA) on a relaxed structure of Sr3TbCe2Sb6.

extended XYZ file:
```
12
Lattice="3.972 -6.882 0.000 3.972 6.882 0.000 -2.649 0.000 7.569" Properties=species:S:1:pos:R:3 pbc="T T T"
Sr 0.000 0.000 0.000
Sr 3.972 2.288 0.000
Sr 3.972 -2.288 0.000
Tb 2.647 0.000 3.784
Ce 2.647 4.590 3.784
Ce 2.647 -4.590 3.784
Sb 1.321 2.300 2.092
Sb -0.006 0.000 5.479
Sb 1.321 -2.300 2.092
Sb 3.973 2.300 5.476
Sb 5.300 0.000 2.090
Sb 3.973 -2.300 5.476
```

Results
V   413.8 Å³ per cell
Energy   -4.8463 eV per atom
Energy relative to the elements, uncorrected   -1146 kJ/mol of formula units